# 1
## InHgBr2 (PBE)

Data for InHgBr2 after structural relaxation.

Properties
The density of states at the Fermi level comes out at 2.20 states/eV/f.u. The calculation puts the energy at -7.9 eV for the cell shown. As for the size of the total moment: 0.000 μB/f.u. For the uncorrected formation energy, the calculation gives -0.3828 eV/atom. The space group is Pmmm (47). The polymorph energy (0 for the lowest one) comes out at 181 meV per atom. The calculation puts the calculated volume at 33.46 Å³/atom.

Unit cell a=4.541 b=4.554 c=6.471 alpha=90.00 beta=90.00 gamma=90.00
Atoms (fractional coordinates):
In  0.000  0.000  0.000
Hg  0.500  0.500  0.500
Br  0.000  0.000  0.500
Br  0.500  0.500  0.000


# 2
## Tl5Pd4Au2 (PBE)

Data for Tl5Pd4Au2 after structural relaxation.

Properties
The density of states at the Fermi level comes out at 5.45 states/eV/f.u. The calculation puts the energy at -39.5 eV for the cell shown. As for the size of the total moment: 0.000 μB/f.u. The energy of formation from the pure elements is -30.8 meV/atom. The space group is C2/m (12). The calculation puts the calculated volume at 22.51 Å³/atom.

Unit cell a=10.428 b=10.428 c=7.207 alpha=91.77 beta=91.77 gamma=18.42
Atoms (fractional coordinates):
Tl  0.000  0.000  0.000
Tl  0.320  0.320  0.913
Tl  0.426  0.426  0.357
Tl  0.574  0.574  0.643
Tl  0.680  0.680  0.087
Pd  0.155  0.155  0.423
Pd  0.442  0.442  0.746
Pd  0.558  0.558  0.254
Pd  0.845  0.845  0.577
Au  0.283  0.283  0.307
Au  0.717  0.717  0.693


# 3
## MnNbVGaCu (PBE)

Data for MnNbVGaCu after structural relaxation.

Properties
The density of states at the Fermi level comes out at 4.10 states/eV/f.u. The calculation puts the energy at -35.7 eV for the cell shown. As for the size of the total moment: 0.001 μB/f.u. The energy of formation from the pure elements is -35.3 meV/atom. The space group is Cm (8). The polymorph energy (0 for the lowest one) comes out at 0 meV per atom. The calculation puts the calculated volume at 13.91 Å³/atom.

Unit cell a=4.868 b=4.868 c=6.413 alpha=127.63 beta=127.63 gamma=36.72
Atoms (fractional coordinates):
Mn  0.000  0.000  0.000
Nb  0.401  0.401  0.592
V  0.581  0.581  0.341
Ga  0.776  0.776  0.143
Cu  0.208  0.208  0.779


# 4
## TiPS2Cl (PBE)

Data for TiPS2Cl after structural relaxation.

Properties
The density of states at the Fermi level comes out at 2.58 states/eV/f.u. The calculation puts the energy at -23.7 eV for the cell shown. As for the size of the total moment: 2.041 μB/f.u. For the uncorrected formation energy, the calculation gives -0.0527 eV/atom. The space group is P4/mmm (123). The polymorph energy (0 for the lowest one) comes out at 0 meV per atom. The calculation puts the calculated volume at 21.46 Å³/atom.

Unit cell a=4.758 b=4.758 c=4.739 alpha=90.00 beta=90.00 gamma=90.00
Atoms (fractional coordinates):
Ti  0.000  0.000  0.000
P  0.500  0.500  0.500
S  0.000  0.500  0.000
S  0.500  0.000  0.000
Cl  0.000  0.000  0.500


# 5
## LiHfInI6 (PBE)

Data for LiHfInI6 after structural relaxation.

Properties
The density of states at the Fermi level comes out at 0.00 states/eV/f.u. The calculation puts the energy at -63.2 eV for the cell shown. As for the size of the total moment: 0.000 μB/f.u. For the uncorrected formation energy, the calculation gives -0.8568 eV/atom. The space group is P-31c (163). The calculation puts the calculated volume at 41.61 Å³/atom.

Unit cell a=7.606 b=7.606 c=14.947 alpha=90.00 beta=90.00 gamma=120.00
Atoms (fractional coordinates):
Li  0.333  0.667  0.250
Li  0.667  0.333  0.750
Hf  0.333  0.667  0.750
Hf  0.667  0.333  0.250
In  0.000  0.000  0.000
In  0.000  0.000  0.500
I  0.014  0.374  0.639
I  0.014  0.640  0.861
I  0.360  0.374  0.861
I  0.360  0.986  0.639
I  0.374  0.014  0.139
I  0.374  0.360  0.361
I  0.626  0.640  0.639
I  0.626  0.986  0.861
I  0.640  0.014  0.361
I  0.640  0.626  0.139
I  0.986  0.360  0.139
I  0.986  0.626  0.361


# 6
## La3SnGe2 (PBE)

Data for La3SnGe2 after structural relaxation.

Properties
The density of states at the Fermi level comes out at 3.15 states/eV/f.u. The calculation puts the energy at -31.9 eV for the cell shown. As for the size of the total moment: 0.000 μB/f.u. The energy of formation from the pure elements is -643.9 meV/atom. The space group is Cmmm (65). The polymorph energy (0 for the lowest one) comes out at 86 meV per atom. The calculation puts the calculated volume at 27.82 Å³/atom.

Unit cell a=8.492 b=8.492 c=4.371 alpha=90.00 beta=90.00 gamma=148.02
Atoms (fractional coordinates):
La  0.000  0.000  0.000
La  0.175  0.825  0.500
La  0.825  0.175  0.500
Sn  0.500  0.500  0.500
Ge  0.352  0.648  0.000
Ge  0.648  0.352  0.000


# 7
## Fe3OsRh (PBE)

Data for Fe3OsRh after structural relaxation.

Properties
The density of states at the Fermi level comes out at 7.63 states/eV/f.u. The calculation puts the energy at -36.2 eV for the cell shown. As for the size of the total moment: 6.527 μB/f.u. The energy of formation from the pure elements is 1560.0 meV/atom. The space group is Pm-3m (221). The polymorph energy (0 for the lowest one) comes out at 0 meV per atom. The calculation puts the calculated volume at 17.36 Å³/atom.

Unit cell a=4.428 b=4.428 c=4.428 alpha=90.00 beta=90.00 gamma=90.00
Atoms (fractional coordinates):
Fe  0.000  0.000  0.500
Fe  0.000  0.500  0.000
Fe  0.500  0.000  0.000
Os  0.000  0.000  0.000
Rh  0.500  0.500  0.500


# 8
## V4Ni5Ir2 (PBE)

Data for V4Ni5Ir2 after structural relaxation.

Properties
The density of states at the Fermi level comes out at 12.46 states/eV/f.u. The calculation puts the energy at -83.2 eV for the cell shown. As for the size of the total moment: 0.000 μB/f.u. The energy of formation from the pure elements is -11.9 meV/atom. The space group is C2/m (12). The calculation puts the calculated volume at 13.21 Å³/atom.

Unit cell a=8.131 b=8.131 c=7.063 alpha=91.26 beta=91.26 gamma=18.13
Atoms (fractional coordinates):
V  0.113  0.113  0.488
V  0.258  0.258  0.319
V  0.742  0.742  0.681
V  0.887  0.887  0.512
Ni  0.361  0.361  0.825
Ni  0.493  0.493  0.330
Ni  0.500  0.500  0.000
Ni  0.507  0.507  0.670
Ni  0.639  0.639  0.175
Ir  0.125  0.125  0.853
Ir  0.875  0.875  0.147


# 9
## Zr2NiP (PBE)

Data for Zr2NiP after structural relaxation.

Properties
The density of states at the Fermi level comes out at 3.50 states/eV/f.u. The calculation puts the energy at -31.2 eV for the cell shown. As for the size of the total moment: 0.000 μB/f.u. The energy of formation from the pure elements is -732.2 meV/atom. The space group is R-3m (166). The calculation puts the calculated volume at 18.41 Å³/atom.

Unit cell a=6.745 b=6.745 c=6.745 alpha=31.33 beta=31.33 gamma=31.33
Atoms (fractional coordinates):
Zr  0.249  0.249  0.249
Zr  0.751  0.751  0.751
Ni  0.000  0.000  0.000
P  0.500  0.500  0.500


# 10
## TbSm4Y (PBE)

Data for TbSm4Y after structural relaxation.

Properties
The density of states at the Fermi level comes out at 8.64 states/eV/f.u. The calculation puts the energy at -29.9 eV for the cell shown. As for the size of the total moment: 0.000 μB/f.u. The energy of formation from the pure elements is 15.0 meV/atom. The space group is P-1 (2). The polymorph energy (0 for the lowest one) comes out at 0 meV per atom. The calculation puts the calculated volume at 33.22 Å³/atom.

Unit cell a=3.603 b=6.246 c=9.550 alpha=77.40 beta=79.25 gamma=73.50
Atoms (fractional coordinates):
Tb  0.000  0.000  0.000
Sm  0.334  0.000  0.333
Sm  0.334  0.499  0.834
Sm  0.666  0.000  0.667
Sm  0.666  0.501  0.166
Y  0.000  0.500  0.500


# 11
## USb4O12 (PBE)

Data for USb4O12 after structural relaxation.

Properties
The density of states at the Fermi level comes out at 4.28 states/eV/f.u. The calculation puts the energy at -113.8 eV for the cell shown. As for the size of the total moment: 1.492 μB/f.u. For the uncorrected formation energy, the calculation gives -1.5624 eV/atom. The space group is I4/mmm (139). The calculation puts the calculated volume at 14.17 Å³/atom.

Unit cell a=6.792 b=6.792 c=6.792 alpha=108.33 beta=108.33 gamma=111.78
Atoms (fractional coordinates):
U  0.000  0.000  0.000
Sb  0.000  0.000  0.500
Sb  0.000  0.500  0.000
Sb  0.500  0.000  0.000
Sb  0.500  0.500  0.500
O  0.047  0.813  0.234
O  0.187  0.420  0.234
O  0.187  0.953  0.766
O  0.294  0.294  0.589
O  0.294  0.706  0.000
O  0.420  0.187  0.234
O  0.580  0.813  0.766
O  0.706  0.294  0.000
O  0.706  0.706  0.411
O  0.813  0.047  0.234
O  0.813  0.580  0.766
O  0.953  0.187  0.766


# 12
## YTmTe3 (PBE)

Data for YTmTe3 after structural relaxation.

Properties
The density of states at the Fermi level comes out at 0.19 states/eV/f.u. The calculation puts the energy at -53.9 eV for the cell shown. As for the size of the total moment: 0.000 μB/f.u. For the uncorrected formation energy, the calculation gives -1.3212 eV/atom. The space group is Cmcm (63). The polymorph energy (0 for the lowest one) comes out at 37 meV per atom. The calculation puts the calculated volume at 31.99 Å³/atom.

Unit cell a=7.365 b=7.365 c=10.818 alpha=90.00 beta=90.00 gamma=146.96
Atoms (fractional coordinates):
Y  0.000  0.000  0.000
Y  0.000  0.000  0.500
Tm  0.245  0.755  0.750
Tm  0.755  0.245  0.250
Te  0.100  0.900  0.250
Te  0.351  0.649  0.071
Te  0.351  0.649  0.429
Te  0.649  0.351  0.571
Te  0.649  0.351  0.929
Te  0.900  0.100  0.750